Here is AgPSCl2 after structural relaxation from the Alexandria database. Energies are from PBE.

Computed properties:
The uncorrected formation energy comes out at 51 kJ/mol of formula units. The energy above the most stable polymorph in this dataset comes out at 0 meV per atom. The calculation puts the uncorrected energy at -3.11 eV per atom.

Lattice parameters (Å, degrees): 4.944 4.944 4.465 90.00 90.00 90.00
Space group P4/mmm (No. 123)
Unique sites:
Ag 0.000 0.000 0.000
P 0.500 0.500 0.500
S 0.500 0.500 0.000
Cl 0.000 0.500 0.500